# 1
# PBE-GGA Li6HgPd2, relaxed
data_Li6HgPd2
_cell_length_a 7.5351
_cell_length_b 7.5351
_cell_length_c 8.3211
_cell_angle_alpha 90.00
_cell_angle_beta 90.00
_cell_angle_gamma 120.00
_symmetry_space_group_name_H-M 'R -3 m'
_symmetry_Int_Tables_number 166
_symmetry_space_group_name_Hall '-R 3 2"'
loop_
_atom_site_label
_atom_site_type_symbol
_atom_site_fract_x
_atom_site_fract_y
_atom_site_fract_z
Li1 Li 0.0000 0.3277 0.0000
Hg1 Hg 0.0000 0.0000 0.5000
Pd1 Pd 0.0000 0.0000 0.1653
# Energy above the most stable polymorph in this dataset   0.000 eV per atom
# Calculated total energy   -2.81 eV/atom
# DOS(E_F)   6.417 states/eV per cell
# Total magnetization   0.0 μB/f.u.
# Formation enthalpy at 0 K   -344.9 meV per atom

=====

# 2
# PBE-GGA CrBBr2, relaxed
data_CrBBr2
_cell_length_a 6.343
_cell_length_b 6.343
_cell_length_c 6.343
_cell_angle_alpha 90.00
_cell_angle_beta 90.00
_cell_angle_gamma 90.00
_symmetry_space_group_name_H-M 'F m -3 m'
_symmetry_Int_Tables_number 225
_symmetry_space_group_name_Hall '-F 4 2 3'
loop_
_atom_site_label
_atom_site_type_symbol
_atom_site_fract_x
_atom_site_fract_y
_atom_site_fract_z
Cr1 Cr 0.000 0.000 0.000
B1 B 0.000 0.000 0.500
Br1 Br 0.250 0.250 0.250
# Energy above the most stable polymorph in this dataset   0.470 eV per atom
# Calculated total energy   -3.46 eV/atom
# DOS(E_F)   24.388 states/eV per cell
# Raw formation energy   1.452 eV/atom
# Total magnetization   0.0 μB/f.u.

=====

# 3
# PBE-GGA PtC2Se2, relaxed
data_PtC2Se2
_cell_length_a 3.648
_cell_length_b 3.648
_cell_length_c 11.153
_cell_angle_alpha 90.00
_cell_angle_beta 90.00
_cell_angle_gamma 90.00
_symmetry_space_group_name_H-M 'I 4/m m m'
_symmetry_Int_Tables_number 139
_symmetry_space_group_name_Hall '-I 4 2'
loop_
_atom_site_label
_atom_site_type_symbol
_atom_site_fract_x
_atom_site_fract_y
_atom_site_fract_z
Pt1 Pt 0.000 0.000 0.000
C1 C 0.000 0.500 0.250
Se1 Se 0.000 0.000 0.343
# Energy above the most stable polymorph in this dataset   0.355 eV per atom
# Calculated total energy   -4.41 eV/atom
# DOS(E_F)   8.610 states/eV per cell
# Raw formation energy   1.878 eV/atom
# Total magnetization   0.0 μB/f.u.

=====

DOS(E_F) of number 1 (Li6HgPd2)? 6.417 states/eV per cell

=====

Which value of DOS(E_F) does entry 1 give? 6.417 states/eV per cell

=====

DOS(E_F) of number 3 (PtC2Se2)? 8.610 states/eV per cell

=====

Copy entry 3 word for word.
# PBE-GGA PtC2Se2, relaxed
data_PtC2Se2
_cell_length_a 3.648
_cell_length_b 3.648
_cell_length_c 11.153
_cell_angle_alpha 90.00
_cell_angle_beta 90.00
_cell_angle_gamma 90.00
_symmetry_space_group_name_H-M 'I 4/m m m'
_symmetry_Int_Tables_number 139
_symmetry_space_group_name_Hall '-I 4 2'
loop_
_atom_site_label
_atom_site_type_symbol
_atom_site_fract_x
_atom_site_fract_y
_atom_site_fract_z
Pt1 Pt 0.000 0.000 0.000
C1 C 0.000 0.500 0.250
Se1 Se 0.000 0.000 0.343
# Energy above the most stable polymorph in this dataset   0.355 eV per atom
# Calculated total energy   -4.41 eV/atom
# DOS(E_F)   8.610 states/eV per cell
# Raw formation energy   1.878 eV/atom
# Total magnetization   0.0 μB/f.u.